Model 1:
This record from Alexandria describes a geometry-optimized CaSiTe2N structure. The functional is GGA-PBE.

Output
* density of states at the Fermi level: 1.95 states/eV per cell

```
data_CaSiTe2N
_cell_length_a 5.7310
_cell_length_b 5.7310
_cell_length_c 3.3930
_cell_angle_alpha 90.00
_cell_angle_beta 90.00
_cell_angle_gamma 90.00
_symmetry_space_group_name_H-M 'P 1'
_symmetry_Int_Tables_number 1
_symmetry_space_group_name_Hall 'P 1'
loop_
_atom_site_label
_atom_site_fract_x
_atom_site_fract_y
_atom_site_fract_z
Si1 0.0000 0.0000 0.0000
Te1 0.5000 0.0000 0.0000
Te2 0.0000 0.5000 0.0000
Ca1 0.5000 0.5000 0.5000
N1 0.0000 0.0000 0.5000
```

---

Model 2:
This record from Alexandria describes a geometry-optimized CaSiTe2N structure. The functional is GGA-PBE.

Output
* density of states at the Fermi level: 3.46 states/eV per cell

```
data_CaSiTe2N
_cell_length_a 5.8946
_cell_length_b 5.8946
_cell_length_c 4.4170
_cell_angle_alpha 90.00
_cell_angle_beta 90.00
_cell_angle_gamma 90.00
_symmetry_space_group_name_H-M 'P 1'
_symmetry_Int_Tables_number 1
_symmetry_space_group_name_Hall 'P 1'
loop_
_atom_site_label
_atom_site_fract_x
_atom_site_fract_y
_atom_site_fract_z
Si1 0.5000 0.5000 0.5000
N1 0.0000 0.0000 0.5000
Ca1 0.0000 0.0000 0.0000
Te1 0.5000 0.0000 0.0000
Te2 0.0000 0.5000 0.0000
```

---

Most stable structure: model 1